#w
# MoAsOsBr2

A geometry-optimized MoAsOsBr2 structure (PBE-GGA, the Alexandria database).

## Properties
Density of states at the Fermi level = 7.98 states/eV/f.u.

Cell and atoms, written as POSCAR:
```
MoAsOsBr2
1.0
5.0706 0.0000 0.0000
0.0000 5.0706 0.0000
0.0000 0.0000 4.9763
Mo As Os Br
1 1 1 2
Direct
0.0000 0.0000 0.0000
0.0000 0.0000 0.5000
0.5000 0.5000 0.5000
0.0000 0.5000 0.0000
0.5000 0.0000 0.0000
```

---

#x
# MoAsOsBr2

A geometry-optimized MoAsOsBr2 structure (PBE-GGA, the Alexandria database).

## Properties
Density of states at the Fermi level = 3.01 states/eV/f.u.

Cell and atoms, written as POSCAR:
```
MoAsOsBr2
1.0
5.2503 0.0000 0.0000
0.0000 5.2503 0.0000
0.0000 0.0000 4.6552
Mo As Os Br
1 1 1 2
Direct
0.0000 0.0000 0.0000
0.5000 0.5000 0.0000
0.5000 0.5000 0.5000
0.0000 0.5000 0.5000
0.5000 0.0000 0.5000
```

---

The calculated energies rank the structures as follows, beginning with the most stable: #x, #w.

---

#w
# MoAs2OsBr

A geometry-optimized MoAs2OsBr structure (PBE-GGA, the Alexandria database).

## Properties
Density of states at the Fermi level = 4.55 states/eV/f.u.

Cell and atoms, written as POSCAR:
```
MoAs2OsBr
1.0
4.8589 0.0000 0.0000
0.0000 4.8589 0.0000
0.0000 0.0000 5.0480
Mo As Os Br
1 2 1 1
Direct
0.0000 0.0000 0.0000
0.0000 0.5000 0.0000
0.5000 0.0000 0.0000
0.5000 0.5000 0.5000
0.0000 0.0000 0.5000
```

---

#x
# MoAs2OsBr

A geometry-optimized MoAs2OsBr structure (PBE-GGA, the Alexandria database).

## Properties
Density of states at the Fermi level = 6.83 states/eV/f.u.

Cell and atoms, written as POSCAR:
```
MoAs2OsBr
1.0
4.8741 0.0000 0.0000
0.0000 4.8741 0.0000
0.0000 0.0000 4.5476
Mo As Os Br
1 2 1 1
Direct
0.0000 0.0000 0.0000
0.0000 0.5000 0.5000
0.5000 0.0000 0.5000
0.5000 0.5000 0.0000
0.0000 0.0000 0.5000
```

---

#y
# MoAs2OsBr

A geometry-optimized MoAs2OsBr structure (PBE-GGA, the Alexandria database).

## Properties
Density of states at the Fermi level = 3.93 states/eV/f.u.

Cell and atoms, written as POSCAR:
```
MoAs2OsBr
1.0
4.7131 0.0000 0.0000
0.0000 4.7131 0.0000
0.0000 0.0000 5.4362
Mo As Os Br
1 2 1 1
Direct
0.0000 0.0000 0.0000
0.0000 0.5000 0.5000
0.5000 0.0000 0.5000
0.5000 0.5000 0.5000
0.5000 0.5000 0.0000
```

---

The calculated energies rank the structures as follows, beginning with the most stable: #y, #w, #x.

---

#w
# MoAs2PBr

A geometry-optimized MoAs2PBr structure (PBE-GGA, the Alexandria database).

## Properties
Density of states at the Fermi level = 2.62 states/eV/f.u.

Cell and atoms, written as POSCAR:
```
MoAs2PBr
1.0
4.8971 0.0000 0.0000
0.0000 4.8971 0.0000
0.0000 0.0000 5.1453
Mo As P Br
1 2 1 1
Direct
0.0000 0.0000 0.0000
0.0000 0.5000 0.0000
0.5000 0.0000 0.0000
0.5000 0.5000 0.5000
0.0000 0.0000 0.5000
```

---

#x
# MoAs2PBr

A geometry-optimized MoAs2PBr structure (PBE-GGA, the Alexandria database).

## Properties
Density of states at the Fermi level = 3.69 states/eV/f.u.

Cell and atoms, written as POSCAR:
```
MoAs2PBr
1.0
4.7835 0.0000 0.0000
0.0000 4.7835 0.0000
0.0000 0.0000 4.8788
Mo As P Br
1 2 1 1
Direct
0.0000 0.0000 0.0000
0.0000 0.5000 0.5000
0.5000 0.0000 0.5000
0.5000 0.5000 0.5000
0.5000 0.5000 0.0000
```

---

The calculated energies rank the structures as follows, beginning with the most stable: #w, #x.